The following is a DFT calculation (PBE) of CsSrTl2Bi2 after structural relaxation.

Output
Magnetic moment   0.00 μB/atom
Formation energy   -0.398 eV per atom
Symmetry   P-3m1, No. 164

abc: 5.5951 5.5951 9.2384
angles: 90.00 90.00 120.00
Last column: nearest neighbours and their distance in Å.
Sites, in units of the cell vectors:
Cs 0.0000 0.0000 0.0000  6 Bi 4.20, 6 Tl 4.49, 2 Sr 4.62
Sr 0.0000 0.0000 0.5000  6 Tl 3.56, 6 Bi 3.76
Tl 0.3333 0.6667 0.6622  4 Bi 3.26-3.43, 3 Sr 3.56
Tl 0.6667 0.3333 0.3378  4 Bi 3.26-3.43, 3 Sr 3.56
Bi 0.3333 0.6667 0.2907  4 Tl 3.26-3.43
Bi 0.6667 0.3333 0.7093  4 Tl 3.26-3.43

=====

The following is a DFT calculation (PBE) of BaAg2TeSe4 after structural relaxation.

Output
Magnetic moment   0.00 μB/atom
Symmetry   I222, No. 23
Energy   -3.580 eV per atom

abc: 6.8316 6.8316 6.8316
angles: 116.96 110.54 101.29
Last column: nearest neighbours and their distance in Å.
Sites, in units of the cell vectors:
Ba 0.0000 0.0000 0.0000  8 Se 3.49
Ag 0.3195 0.8195 0.5000  2 Se 2.58
Ag 0.6805 0.1805 0.5000  2 Se 2.58
Te 0.5000 0.5000 0.0000  4 Se 2.72
Se 0.1115 0.0990 0.5845  1 Ag 2.58, 1 Te 2.72
Se 0.4856 0.9010 0.0125  1 Ag 2.58, 1 Te 2.72
Se 0.5144 0.5269 0.4155  1 Ag 2.58, 1 Te 2.72
Se 0.8885 0.4731 0.9875  1 Ag 2.58, 1 Te 2.72

=====

The following is a DFT calculation (PBE) of TcAsPt2 after structural relaxation.

Output
Magnetic moment   0.00 μB/atom
Formation energy   0.506 eV per atom
Symmetry   I-42d, No. 122

abc: 6.7510 6.7510 6.7510
angles: 129.32 129.32 74.49
Last column: nearest neighbours and their distance in Å.
Sites, in units of the cell vectors:
Tc 0.0000 0.0000 0.0000  4 Pt 2.44
Tc 0.7500 0.2500 0.5000  4 Pt 2.44
As 0.2500 0.7500 0.5000  4 Pt 2.45
As 0.5000 0.5000 0.0000  4 Pt 2.45
Pt 0.1226 0.6250 0.9976  2 Tc 2.44, 2 As 2.45
Pt 0.3750 0.3726 0.4976  2 Tc 2.44, 2 As 2.45
Pt 0.6274 0.1250 0.0024  2 Tc 2.44, 2 As 2.45
Pt 0.8750 0.8774 0.5024  2 Tc 2.44, 2 As 2.45

=====

The following is a DFT calculation (PBE) of TbGePd4 after structural relaxation.

Output
Magnetic moment   0.00 μB/atom
Formation energy   -0.692 eV per atom
Symmetry   Pmma, No. 51

abc: 7.7088 3.9451 6.9769
angles: 90.00 90.00 90.00
Last column: nearest neighbours and their distance in Å.
Sites, in units of the cell vectors:
Tb 0.2500 0.0000 0.1426  8 Pd 2.89-3.15, 1 Ge 2.95
Tb 0.7500 0.0000 0.8574  8 Pd 2.89-3.15, 1 Ge 2.95
Ge 0.2500 0.0000 0.7198  8 Pd 2.46-2.75
Ge 0.7500 0.0000 0.2802  8 Pd 2.46-2.75
Pd 0.0000 0.0000 0.5000  2 Ge 2.46
Pd 0.0545 0.5000 0.8070  2 Ge 2.56, 1 Pd 2.82
Pd 0.2500 0.5000 0.4460  2 Ge 2.75, 8 Pd 2.78-2.94, 2 Tb 2.89
Pd 0.4455 0.5000 0.8070  2 Ge 2.56, 1 Pd 2.82
Pd 0.5000 0.0000 0.5000  2 Ge 2.46
Pd 0.5545 0.5000 0.1930  2 Ge 2.56, 1 Pd 2.82
Pd 0.7500 0.5000 0.5540  2 Ge 2.75, 8 Pd 2.78-2.94, 2 Tb 2.89
Pd 0.9455 0.5000 0.1930  2 Ge 2.56, 1 Pd 2.82